LiFeAs | Alexandria via LeMat-Bulk | GGA-PBE | relaxed; total moment = 0.0 μB/f.u.; uncorrected energy = -5.214 eV per atom; E_form = -0.205 eV per atom
1.0
-1.232 8.357 6.962
-0.896 4.416 -0.174
-2.314 -3.634 -1.333
As Fe Li
2 2 2
Cartesian
-3.130 3.328 4.019
-1.312 5.811 1.436
-1.505 1.412 -0.436
-2.937 7.727 5.891
-2.470 5.698 3.844
-1.972 3.441 1.611